Here is MgScGa after structural relaxation from the Alexandria database. Energies are from PBE.

a b c (Å): 4.2631 3.3733 8.8387
angles (deg): 79.02 90.00 90.00
With the nearest neighbours (Å) after each atom.
Element x y z (fractional)
Ga  0.9654  0.1465  0.8778  2 Ga 2.65, 1 Mg 2.82, 6 Sc 2.85-2.96
Sc  0.4654  0.6954  0.7798  6 Ga 2.85-2.96
Sc  0.9654  0.5075  0.1576  6 Ga 2.85-2.96
Mg  0.4652  0.8941  0.3842  1 Ga 2.82, 4 Mg 3.09
Mg  0.9654  0.3089  0.5533  1 Ga 2.82, 4 Mg 3.09
Ga  0.4654  0.0565  0.0596  2 Ga 2.65, 1 Mg 2.82, 6 Sc 2.85-2.96

Output
Total magnetization (μB per cell): 0.00
E (eV/atom): -3.965
Formation energy (eV/atom): -0.31
Symmetry: P2_1/m (11)

=====

Here is MgScGa2 after structural relaxation from the Alexandria database. Energies are from PBE.

a b c (Å): 7.4243 7.4243 6.0608
angles (deg): 52.23 52.23 90.00
With the nearest neighbours (Å) after each atom.
Element x y z (fractional)
Sc  0.7500  0.2500  0.5000  4 Ga 2.79, 2 Mg 3.03
Ga  0.6140  0.1250  0.2500  2 Mg 2.68, 2 Sc 2.79
Ga  0.3750  0.3860  0.7500  2 Mg 2.68, 2 Sc 2.79
Ga  0.8750  0.8640  0.7500  2 Mg 2.68, 2 Sc 2.79
Ga  0.1360  0.6250  0.2500  2 Mg 2.68, 2 Sc 2.79
Sc  0.0000  0.0000  0.0000  4 Ga 2.79, 2 Mg 3.03
Mg  0.2500  0.7500  0.5000  4 Ga 2.68
Mg  0.5000  0.5000  0.0000  4 Ga 2.68

Output
Total magnetization (μB per cell): 0.00
E (eV/atom): -3.597
Formation energy (eV/atom): -0.10
Symmetry: I-42d (122)

=====

Here is MgSc2Ga6 after structural relaxation from the Alexandria database. Energies are from PBE.

a b c (Å): 3.2150 7.6342 7.6342
angles (deg): 120.00 90.00 90.00
With the nearest neighbours (Å) after each atom.
Element x y z (fractional)
Ga  0.5000  0.6668  0.6668  3 Ga 2.54-2.55
Ga  0.5000  0.3332  0.3332  3 Ga 2.54-2.55
Ga  0.5000  0.6668  0.0000  3 Ga 2.54-2.55
Ga  0.5000  0.0000  0.3332  3 Ga 2.54-2.55
Sc  0.0000  0.3333  0.6667  12 Ga 3.01, 2 Sc 3.22
Mg  0.0000  0.0000  0.0000  12 Ga 3.01, 2 Mg 3.22
Ga  0.5000  0.0000  0.6668  3 Ga 2.54-2.55
Ga  0.5000  0.3332  0.0000  3 Ga 2.54-2.55
Sc  0.0000  0.6667  0.3333  12 Ga 3.01, 2 Sc 3.22

Output
Total magnetization (μB per cell): 0.00
E (eV/atom): -3.991
Formation energy (eV/atom): -0.39
Symmetry: P6/mmm (191)

=====

- total magnetization of number 1 (MgScGa)?
  0.00 μB per cell